[1]
Here is a relaxed NbZnCo2H crystal from the Alexandria database. Energies are from PBE.

## Properties
Total moment = 0.0 μB/f.u.
Energy relative to the lowest polymorph listed for this composition = 120 meV/atom
Total energy = -5.6463 eV/atom

a = 3.838 Å, b = 3.838 Å, c = 3.706 Å
α = 90.00°, β = 90.00°, γ = 90.00°
Space group P4/mmm (No. 123)
Symmetry-distinct sites (fractional):
Nb1 0.000 0.000 0.000 x1
Zn1 0.500 0.500 0.000 x1
Co1 0.000 0.500 0.500 x2
H1 0.500 0.500 0.500 x1

---

[2]
Here is a relaxed Ce2PmSb crystal from the Alexandria database. Energies are from PBE.

## Properties
Total moment = 0.0 μB/f.u.
Energy relative to the lowest polymorph listed for this composition = 0 meV/atom
Total energy = -5.7889 eV/atom

a = 4.473 Å, b = 4.387 Å, c = 11.735 Å
α = 90.00°, β = 100.50°, γ = 90.00°
Space group P2_1/m (No. 11)
Symmetry-distinct sites (fractional):
Ce1 0.001 0.250 0.117 x2
Ce2 0.401 0.250 0.887 x2
Pm1 0.302 0.750 0.610 x2
Sb1 0.174 0.750 0.331 x2

---

[3]
Here is a relaxed HoAl12Pt4 crystal from the Alexandria database. Energies are from PBE.

## Properties
Total moment = 0.0 μB/f.u.
Formation energy from the elements = -0.348 eV/atom
Total energy = -4.6802 eV/atom

a = 8.778 Å, b = 8.778 Å, c = 8.778 Å
α = 90.00°, β = 90.00°, γ = 90.00°
Space group Im-3 (No. 204)
Symmetry-distinct sites (fractional):
Ho1 0.000 0.000 0.000 x2
Al1 0.000 0.158 0.340 x24
Pt1 0.250 0.250 0.250 x8

---

[4]
Here is a relaxed SrAcGd2 crystal from the Alexandria database. Energies are from PBE.

## Properties
Total moment = 15.5 μB/f.u.
Energy relative to the lowest polymorph listed for this composition = 51 meV/atom
Formation energy from the elements = 0.162 eV/atom
Total energy = -8.3264 eV/atom

a = 5.405 Å, b = 5.405 Å, c = 5.397 Å
α = 90.00°, β = 90.00°, γ = 90.00°
Space group P4/mmm (No. 123)
Symmetry-distinct sites (fractional):
Sr1 0.000 0.000 0.000 x1
Ac1 0.500 0.500 0.000 x1
Gd1 0.000 0.500 0.500 x2

---

[5]
Here is a relaxed TmScCuRu crystal from the Alexandria database. Energies are from PBE.

## Properties
Total moment = 0.0 μB/f.u.
Formation energy from the elements = -0.419 eV/atom
Total energy = -6.4627 eV/atom

a = 6.624 Å, b = 6.624 Å, c = 6.624 Å
α = 90.00°, β = 90.00°, γ = 90.00°
Space group F-43m (No. 216)
Symmetry-distinct sites (fractional):
Tm1 0.000 0.000 0.000 x4
Sc1 0.000 0.000 0.500 x4
Cu1 0.250 0.250 0.750 x4
Ru1 0.250 0.250 0.250 x4

---

[6]
Here is a relaxed LaAg3C crystal from the Alexandria database. Energies are from PBE.

## Properties
Total moment = 2.0 μB/f.u.
Energy relative to the lowest polymorph listed for this composition = 1653 meV/atom
Formation energy from the elements = 2.265 eV/atom
Total energy = -2.2764 eV/atom

a = 5.906 Å, b = 5.906 Å, c = 5.906 Å
α = 90.00°, β = 90.00°, γ = 90.00°
Space group Pm-3m (No. 221)
Symmetry-distinct sites (fractional):
La1 0.000 0.000 0.000 x1
Ag1 0.000 0.000 0.500 x3
C1 0.500 0.500 0.500 x1

---

[7]
Here is a relaxed DyFeAg crystal from the Alexandria database. Energies are from PBE.

## Properties
Total moment = 0.0 μB/f.u.
Formation energy from the elements = 0.003 eV/atom
Total energy = -5.3028 eV/atom

a = 12.714 Å, b = 3.855 Å, c = 4.931 Å
α = 90.00°, β = 101.78°, γ = 90.00°
Space group C2/m (No. 12)
Symmetry-distinct sites (fractional):
Dy1 0.126 0.000 0.329 x4
Fe1 0.232 0.000 0.906 x4
Ag1 0.072 0.500 0.782 x4

---

[8]
Here is a relaxed ZrAg4Rh crystal from the Alexandria database. Energies are from PBE.

## Properties
Total moment = 0.0 μB/f.u.
Formation energy from the elements = 0.115 eV/atom
Total energy = -4.4357 eV/atom

a = 7.569 Å, b = 7.569 Å, c = 7.569 Å
α = 90.00°, β = 90.00°, γ = 90.00°
Space group F-43m (No. 216)
Symmetry-distinct sites (fractional):
Zr1 0.000 0.000 0.000 x4
Ag1 0.125 0.125 0.625 x16
Rh1 0.250 0.250 0.250 x4

---

[9]
Here is a relaxed ZrBe2Pd crystal from the Alexandria database. Energies are from PBE.

## Properties
Total moment = 0.0 μB/f.u.
Energy relative to the lowest polymorph listed for this composition = 414 meV/atom
Formation energy from the elements = 0.086 eV/atom
Total energy = -5.2128 eV/atom

a = 4.048 Å, b = 4.048 Å, c = 15.659 Å
α = 90.00°, β = 90.00°, γ = 90.00°
Space group I4_1/amd (No. 141, origin choice 2)
Symmetry-distinct sites (fractional):
Zr1 0.000 0.250 0.375 x4
Be1 0.000 0.000 0.000 x8
Pd1 0.000 0.250 0.875 x4

---

[10]
Here is a relaxed LiHo6Ir5 crystal from the Alexandria database. Energies are from PBE.

## Properties
Total moment = 0.0 μB/f.u.
Formation energy from the elements = -0.777 eV/atom
Total energy = -6.9176 eV/atom

a = 4.824 Å, b = 6.886 Å, c = 14.573 Å
α = 90.00°, β = 90.00°, γ = 90.00°
Space group Immm (No. 71)
Symmetry-distinct sites (fractional):
Li1 0.000 0.000 0.000 x2
Ho1 0.000 0.243 0.500 x4
Ho2 0.000 0.254 0.170 x8
Ir1 0.000 0.000 0.333 x4
Ir2 0.000 0.500 0.000 x2
Ir3 0.000 0.500 0.338 x4

---

[11]
Here is a relaxed Ba8Ga2Pb crystal from the Alexandria database. Energies are from PBE.

## Properties
Total moment = 0.9 μB/f.u.
Formation energy from the elements = -0.252 eV/atom
Total energy = -2.5374 eV/atom

a = 21.023 Å, b = 5.939 Å, c = 8.552 Å
α = 90.00°, β = 110.76°, γ = 90.00°
Space group C2/m (No. 12)
Symmetry-distinct sites (fractional):
Ba1 0.033 0.000 0.284 x4
Ba2 0.098 0.500 0.954 x4
Ba3 0.174 0.500 0.464 x4
Ba4 0.197 0.000 0.812 x4
Ga1 0.182 0.000 0.190 x4
Pb1 0.000 0.500 0.500 x2

---

[12]
Here is a relaxed TaSiSn3 crystal from the Alexandria database. Energies are from PBE.

## Properties
Total moment = 0.0 μB/f.u.
Energy relative to the lowest polymorph listed for this composition = 0 meV/atom
Total energy = -4.9902 eV/atom

a = 5.374 Å, b = 5.374 Å, c = 5.374 Å
α = 90.00°, β = 90.00°, γ = 90.00°
Space group Pm-3m (No. 221)
Symmetry-distinct sites (fractional):
Ta1 0.000 0.000 0.000 x1
Si1 0.500 0.500 0.500 x1
Sn1 0.000 0.000 0.500 x3